# 1
DFT (GGA-PBE) results for crystalline CaAs2SeN at its relaxed geometry.

CIF file:
```
data_CaAs2SeN
_symmetry_space_group_name_H-M 'P 1'
_symmetry_Int_Tables_number 1
_symmetry_space_group_name_Hall 'P 1'
_cell_length_a 5.547
_cell_length_b 5.547
_cell_length_c 5.412
_cell_angle_alpha 90.00
_cell_angle_beta 90.00
_cell_angle_gamma 90.00
loop_
_atom_site_label
_atom_site_fract_x
_atom_site_fract_y
_atom_site_fract_z
N1 0.500 0.500 0.500
Se1 0.000 0.000 0.500
Ca1 0.000 0.000 0.000
As1 0.500 0.000 0.000
As2 0.000 0.500 0.000
```

Calculated values
The volume comes out at 33.30 Å³/atom. The formation energy without anion corrections comes out at 1540 meV/atom. For the excess energy over the best structure of this formula in the dataset, the calculation gives 1348 meV per atom. The space group is P4/mmm. As for the density of states at the Fermi level: 4.1 states/eV/f.u. The value obtained for the electronic total energy is -15.41 eV/cell.

---

# 2
DFT (GGA-PBE) results for crystalline Na3AcHg7 at its relaxed geometry.

CIF file:
```
data_Na3AcHg7
_symmetry_space_group_name_H-M 'P 1'
_symmetry_Int_Tables_number 1
_symmetry_space_group_name_Hall 'P 1'
_cell_length_a 3.736
_cell_length_b 10.920
_cell_length_c 16.516
_cell_angle_alpha 90.00
_cell_angle_beta 90.00
_cell_angle_gamma 99.85
loop_
_atom_site_label
_atom_site_fract_x
_atom_site_fract_y
_atom_site_fract_z
Hg1 0.628 0.257 0.845
Na1 0.885 0.771 0.992
Na2 0.234 0.467 0.750
Hg2 0.491 0.982 0.914
Hg3 0.378 0.757 0.750
Hg4 0.491 0.982 0.586
Hg5 0.372 0.743 0.155
Hg6 0.752 0.504 0.579
Hg7 0.248 0.496 0.079
Na3 0.115 0.229 0.008
Hg8 0.509 0.018 0.086
Ac1 0.986 0.973 0.250
Na4 0.766 0.533 0.250
Na5 0.885 0.771 0.508
Na6 0.115 0.229 0.492
Hg9 0.509 0.018 0.414
Hg10 0.248 0.496 0.421
Ac2 0.014 0.027 0.750
Hg11 0.622 0.243 0.250
Hg12 0.372 0.743 0.345
Hg13 0.752 0.504 0.921
Hg14 0.628 0.257 0.655
```

Calculated values
The volume comes out at 30.17 Å³/atom. The value obtained for the formation energy is -0.210 eV/atom. The space group is Cmcm. As for the density of states at the Fermi level: 5.7 states/eV/f.u. The value obtained for the electronic total energy is -24.98 eV/cell.

---

# 3
DFT (GGA-PBE) results for crystalline KTcSb2 at its relaxed geometry.

CIF file:
```
data_KTcSb2
_symmetry_space_group_name_H-M 'P 1'
_symmetry_Int_Tables_number 1
_symmetry_space_group_name_Hall 'P 1'
_cell_length_a 5.186
_cell_length_b 5.186
_cell_length_c 5.186
_cell_angle_alpha 60.00
_cell_angle_beta 60.00
_cell_angle_gamma 60.00
loop_
_atom_site_label
_atom_site_fract_x
_atom_site_fract_y
_atom_site_fract_z
Sb1 0.000 0.000 0.000
Sb2 0.250 0.250 0.250
K1 0.500 0.500 0.500
Tc1 0.750 0.750 0.750
```

Calculated values
The volume comes out at 24.65 Å³/atom. The formation energy without anion corrections comes out at 842 meV/atom. For the excess energy over the best structure of this formula in the dataset, the calculation gives 988 meV per atom. The space group is F-43m. As for the density of states at the Fermi level: 3.1 states/eV/f.u. The value obtained for the electronic total energy is -16.34 eV/cell.

---

# 4
DFT (GGA-PBE) results for crystalline AcTh4Tl5 at its relaxed geometry.

CIF file:
```
data_AcTh4Tl5
_symmetry_space_group_name_H-M 'P 1'
_symmetry_Int_Tables_number 1
_symmetry_space_group_name_Hall 'P 1'
_cell_length_a 3.593
_cell_length_b 3.593
_cell_length_c 23.333
_cell_angle_alpha 90.00
_cell_angle_beta 90.00
_cell_angle_gamma 90.00
loop_
_atom_site_label
_atom_site_fract_x
_atom_site_fract_y
_atom_site_fract_z
Th1 0.000 0.000 0.205
Tl1 0.500 0.500 0.107
Tl2 0.500 0.500 0.696
Th2 0.000 0.000 0.598
Th3 0.000 0.000 0.795
Ac1 0.000 0.000 0.000
Tl3 0.500 0.500 0.893
Tl4 0.500 0.500 0.500
Tl5 0.500 0.500 0.304
Th4 0.000 0.000 0.402
```

Calculated values
The volume comes out at 30.11 Å³/atom. The value obtained for the formation energy is -0.167 eV/atom. The space group is P4/mmm. As for the density of states at the Fermi level: 12.9 states/eV/f.u. The value obtained for the electronic total energy is -47.29 eV/cell.

---

# 5
DFT (GGA-PBE) results for crystalline NbSbAuO2 at its relaxed geometry.

CIF file:
```
data_NbSbAuO2
_symmetry_space_group_name_H-M 'P 1'
_symmetry_Int_Tables_number 1
_symmetry_space_group_name_Hall 'P 1'
_cell_length_a 4.057
_cell_length_b 5.558
_cell_length_c 4.057
_cell_angle_alpha 90.00
_cell_angle_beta 90.00
_cell_angle_gamma 90.00
loop_
_atom_site_label
_atom_site_fract_x
_atom_site_fract_y
_atom_site_fract_z
Au1 0.000 0.000 0.000
O1 0.500 0.000 0.000
Sb1 0.000 0.500 0.000
Nb1 0.500 0.500 0.500
O2 0.000 0.000 0.500
```

Calculated values
The volume comes out at 18.30 Å³/atom. The formation energy without anion corrections comes out at 654 meV/atom. The space group is P4/mmm. As for the density of states at the Fermi level: 6.9 states/eV/f.u. The value obtained for the electronic total energy is -24.12 eV/cell.

---

# 6
DFT (GGA-PBE) results for crystalline TiAs at its relaxed geometry.

CIF file:
```
data_TiAs
_symmetry_space_group_name_H-M 'P 1'
_symmetry_Int_Tables_number 1
_symmetry_space_group_name_Hall 'P 1'
_cell_length_a 4.402
_cell_length_b 4.402
_cell_length_c 5.085
_cell_angle_alpha 90.00
_cell_angle_beta 90.00
_cell_angle_gamma 120.00
loop_
_atom_site_label
_atom_site_fract_x
_atom_site_fract_y
_atom_site_fract_z
As1 0.667 0.333 0.250
As2 0.333 0.667 0.750
Ti1 0.333 0.667 0.250
Ti2 0.667 0.333 0.750
```

Calculated values
The volume comes out at 21.34 Å³/atom. The value obtained for the formation energy is -0.642 eV/atom. The space group is P6_3/mmc. As for the density of states at the Fermi level: 2.3 states/eV/f.u. The value obtained for the electronic total energy is -27.66 eV/cell.